VASP calculation (PBE) on LuZnNi after structural relaxation.

Summary:
SG: F-43m, No. 216
E_tot: -10.579 eV per cell
Formation enthalpy at 0 K: 0.8 eV/f.u.
Volume: 62.5 Å³ per cell

a = 4.4534 Å, b = 4.4534 Å, c = 4.4534 Å
α = 60.00°, β = 60.00°, γ = 60.00°
Last column: nearest neighbours and their distance in Å.
Positions (direct):
Lu  0.0000  0.0000  0.0000  4 Ni 2.73, 4 Zn 2.73
Zn  0.2500  0.2500  0.2500  4 Lu 2.73
Ni  0.7500  0.7500  0.7500  4 Lu 2.73

=====

VASP calculation (PBE) on LuPaPb after structural relaxation.

Summary:
SG: F-43m, No. 216
E_tot: -16.285 eV per cell
E above lowest polymorph: 0 meV/atom
Volume: 97.0 Å³ per cell

a = 5.1573 Å, b = 5.1573 Å, c = 5.1573 Å
α = 60.00°, β = 60.00°, γ = 60.00°
Last column: nearest neighbours and their distance in Å.
Positions (direct):
Lu  0.0000  0.0000  0.0000  4 Pb 3.16
Pa  0.5000  0.5000  0.5000  4 Pb 3.16
Pb  0.2500  0.2500  0.2500  4 Pa 3.16, 4 Lu 3.16

=====

VASP calculation (PBE) on LuZnCoSi after structural relaxation.

Summary:
SG: F-43m, No. 216
E_tot: -19.148 eV per cell
E above lowest polymorph: 5 meV/atom
Volume: 59.2 Å³ per cell

a = 4.3737 Å, b = 4.3737 Å, c = 4.3737 Å
α = 60.00°, β = 60.00°, γ = 60.00°
Last column: nearest neighbours and their distance in Å.
Positions (direct):
Lu  0.0000  0.0000  0.0000  4 Co 2.68, 4 Zn 2.68
Zn  0.2500  0.2500  0.2500  4 Si 2.68, 4 Lu 2.68
Co  0.7500  0.7500  0.7500  4 Si 2.68, 4 Lu 2.68
Si  0.5000  0.5000  0.5000  4 Co 2.68, 4 Zn 2.68

=====

- The highest volume belongs to which entry?
  LuPaPb